Entry 1:
Entry from the Alexandria database: a relaxed structure of Rb3Sc5F12 (PBE).

Output
Uncorrected energy = -5.77 eV per atom
Formation energy from raw total energies = -2.9161 eV per atom
Total magnetic moment = 5.579 μB per formula unit

abc: 14.3892 14.3892 14.3892
angles: 90.00 90.00 90.00
Last column: nearest neighbours and their distance in Å.
Space group Ia-3d (No. 230)
One atom of each set of equivalent atoms:
1 Rb 0.0000 0.2500 0.1250 (multiplicity 24)  4 F 2.78
2 Sc 0.0000 0.0000 0.0000 (multiplicity 16)  6 F 2.08
3 Sc 0.0000 0.2500 0.3750 (multiplicity 24)  4 F 2.20
4 F 0.0279 0.0351 0.6373 (multiplicity 96)  2 Sc 2.08-2.20


Entry 2:
Entry from the Alexandria database: a relaxed structure of La6Co3Pb (PBE).

Output
Uncorrected energy = -5.65 eV per atom
Formation enthalpy at 0 K = -0.19 eV/atom
Total magnetic moment = 0.000 μB per formula unit

abc: 11.7095 3.9735 12.8904
angles: 90.00 104.69 90.00
Last column: nearest neighbours and their distance in Å.
Space group P2_1/m (No. 11)
One atom of each set of equivalent atoms:
1 La 0.0020 0.2500 0.3834 (multiplicity 2)  4 Co 2.78-2.94
2 La 0.1070 0.2500 0.9478 (multiplicity 2)  3 Co 2.68-2.89
3 La 0.1915 0.7500 0.2547 (multiplicity 2)  3 Co 2.84-2.97
4 La 0.2934 0.7500 0.7913 (multiplicity 2)  2 Co 2.62
5 La 0.3268 0.2500 0.5292 (multiplicity 2)  2 Co 2.74
6 La 0.4147 0.7500 0.0867 (multiplicity 2)  3 Co 2.82-2.84
7 Co 0.0230 0.2500 0.1631 (multiplicity 2)  5 La 2.68-2.91
8 Co 0.1612 0.7500 0.4765 (multiplicity 2)  6 La 2.74-2.97
9 Co 0.3472 0.2500 0.9278 (multiplicity 2)  6 La 2.62-2.89
10 Pb 0.4519 0.2500 0.3151 (multiplicity 2)  8 La 3.44-3.59


Entry 3:
Entry from the Alexandria database: a relaxed structure of PmZnGaRh (PBE).

Output
Uncorrected energy = -4.52 eV per atom
Formation enthalpy at 0 K = -0.41 eV/atom
Total magnetic moment = 0.000 μB per formula unit

abc: 6.6863 6.6863 6.6863
angles: 90.00 90.00 90.00
Last column: nearest neighbours and their distance in Å.
Space group F-43m (No. 216)
One atom of each set of equivalent atoms:
1 Pm 0.0000 0.0000 0.0000 (multiplicity 4)  4 Zn 2.90, 4 Rh 2.90
2 Zn 0.2500 0.2500 0.2500 (multiplicity 4)  4 Pm 2.90, 4 Ga 2.90
3 Ga 0.0000 0.0000 0.5000 (multiplicity 4)  4 Rh 2.90, 4 Zn 2.90
4 Rh 0.2500 0.2500 0.7500 (multiplicity 4)  4 Pm 2.90, 4 Ga 2.90


Entry 4:
Entry from the Alexandria database: a relaxed structure of NaMgP3 (PBE).

Output
Uncorrected energy = -3.26 eV per atom
Formation enthalpy at 0 K = 0.57 eV/atom
Total magnetic moment = 0.000 μB per formula unit

abc: 4.8741 4.8741 4.8741
angles: 90.00 90.00 90.00
Last column: nearest neighbours and their distance in Å.
Space group Pm-3m (No. 221)
One atom of each set of equivalent atoms:
1 Na 0.0000 0.0000 0.0000 (multiplicity 1)  12 P 3.45
2 Mg 0.5000 0.5000 0.5000 (multiplicity 1)  6 P 2.44
3 P 0.0000 0.5000 0.5000 (multiplicity 3)  2 Mg 2.44


Entry 5:
Entry from the Alexandria database: a relaxed structure of AcLaTe6 (PBE).

Output
Uncorrected energy = -4.55 eV per atom
Formation energy from raw total energies = -1.0689 eV per atom
Total magnetic moment = 0.000 μB per formula unit

abc: 4.4703 4.4699 28.2440
angles: 90.00 90.00 90.00
Last column: nearest neighbours and their distance in Å.
Space group Amm2 (No. 38)
One atom of each set of equivalent atoms:
1 Ac 0.0000 0.0000 0.0000 (multiplicity 2)  9 Te 3.32-3.53
2 La 0.5000 0.0000 0.6558 (multiplicity 2)  9 Te 3.29-3.45
3 Te 0.0000 0.0000 0.1234 (multiplicity 2)  4 La 3.29, 1 Ac 3.49
4 Te 0.0000 0.0000 0.4031 (multiplicity 2)  4 Te 3.16, 2 Ac 3.53
5 Te 0.0000 0.0000 0.7487 (multiplicity 2)  4 Te 3.16, 2 La 3.45
6 Te 0.5000 0.0000 0.2487 (multiplicity 2)  4 Te 3.16, 2 La 3.45
7 Te 0.5000 0.0000 0.5362 (multiplicity 2)  4 Ac 3.32, 1 La 3.38
8 Te 0.5000 0.0000 0.9031 (multiplicity 2)  4 Te 3.16, 2 Ac 3.53


Entry 6:
Entry from the Alexandria database: a relaxed structure of TlHg2Mo (PBE).

Output
Uncorrected energy = -2.67 eV per atom
Formation enthalpy at 0 K = 0.78 eV/atom
Total magnetic moment = 1.852 μB per formula unit

abc: 4.1636 4.1636 21.5584
angles: 90.00 90.00 90.00
Last column: nearest neighbours and their distance in Å.
Space group I-42d (No. 122)
One atom of each set of equivalent atoms:
1 Tl 0.0000 0.0000 0.0000 (multiplicity 4)  4 Mo 2.94, 4 Hg 3.09
2 Hg 0.2363 0.2500 0.6250 (multiplicity 8)  4 Hg 2.86-3.03, 2 Mo 3.05, 2 Tl 3.09
3 Mo 0.0000 0.0000 0.5000 (multiplicity 4)  4 Tl 2.94, 4 Hg 3.05


Entry 7:
Entry from the Alexandria database: a relaxed structure of Sm4Tl5In (PBE).

Output
Uncorrected energy = -3.42 eV per atom
Formation enthalpy at 0 K = -0.08 eV/atom
Total magnetic moment = 0.000 μB per formula unit

abc: 7.6949 10.4337 7.8165
angles: 90.00 90.00 90.00
Last column: nearest neighbours and their distance in Å.
Space group Pmmn (No. 59, origin choice 2)
One atom of each set of equivalent atoms:
1 Sm 0.0034 0.2500 0.1973 (multiplicity 4)  3 Tl 3.15-3.25, 1 In 3.25
2 Sm 0.2500 0.5641 0.4789 (multiplicity 4)  5 Tl 3.29-3.42, 1 In 3.31
3 Tl 0.0536 0.0588 0.8180 (multiplicity 8)  3 Tl 3.02-3.21, 3 Sm 3.25-3.31, 1 In 3.34
4 Tl 0.2500 0.7500 0.1188 (multiplicity 2)  4 Tl 3.11, 4 Sm 3.15-3.42
5 In 0.2500 0.2500 0.5345 (multiplicity 2)  4 Sm 3.25-3.31, 4 Tl 3.34


Entry 8:
Entry from the Alexandria database: a relaxed structure of HgMo2Ir (PBE).

Output
Uncorrected energy = -7.44 eV per atom
Formation enthalpy at 0 K = 0.27 eV/atom
Total magnetic moment = 0.000 μB per formula unit

abc: 2.8390 2.8390 28.5002
angles: 90.00 90.00 120.00
Last column: nearest neighbours and their distance in Å.
Space group R-3m (No. 166, hexagonal axes)
One atom of each set of equivalent atoms:
1 Hg 0.0000 0.0000 0.0000 (multiplicity 3)  6 Hg 2.84, 6 Mo 3.03
2 Mo 0.0000 0.0000 0.2440 (multiplicity 6)  3 Ir 2.75, 6 Mo 2.84, 3 Hg 3.03
3 Ir 0.0000 0.0000 0.5000 (multiplicity 3)  6 Mo 2.75, 6 Ir 2.84


Entry 9:
Entry from the Alexandria database: a relaxed structure of TcAsW2 (PBE).

Output
Uncorrected energy = -9.95 eV per atom
Formation enthalpy at 0 K = 0.28 eV/atom
Total magnetic moment = 0.000 μB per formula unit

abc: 2.8896 2.8896 26.2356
angles: 90.00 90.00 120.00
Last column: nearest neighbours and their distance in Å.
Space group R3m (No. 160, hexagonal axes)
One atom of each set of equivalent atoms:
1 Tc 0.0000 0.0000 0.0000 (multiplicity 3)  3 As 2.68, 3 W 2.70, 6 Tc 2.89
2 As 0.0000 0.0000 0.7468 (multiplicity 3)  3 Tc 2.68, 3 W 2.77, 6 As 2.89
3 W 0.0000 0.0000 0.2526 (multiplicity 3)  3 Tc 2.70, 9 W 2.85-2.89
4 W 0.0000 0.0000 0.4977 (multiplicity 3)  3 As 2.77, 9 W 2.85-2.89


Entry 10:
Entry from the Alexandria database: a relaxed structure of NaCoRu (PBE).

Output
Uncorrected energy = -5.50 eV per atom
Formation enthalpy at 0 K = 0.40 eV/atom
Total magnetic moment = 1.846 μB per formula unit

abc: 2.7263 3.5382 11.1731
angles: 90.00 90.25 90.00
Last column: nearest neighbours and their distance in Å.
Space group Pm (No. 6)
One atom of each set of equivalent atoms:
1 Na 0.0000 0.0000 0.0000 (multiplicity 1)  2 Na 2.73
2 Na 0.4870 0.5000 0.2831 (multiplicity 1)  2 Na 2.73
3 Co 0.4974 0.5000 0.8110 (multiplicity 1)  4 Co 2.43, 1 Ru 2.48
4 Co 0.9957 0.0000 0.7263 (multiplicity 1)  4 Co 2.43, 4 Ru 2.71
5 Ru 0.4929 0.5000 0.5891 (multiplicity 1)  5 Co 2.48-2.71, 6 Ru 2.54-2.73
6 Ru 0.9909 0.0000 0.4809 (multiplicity 1)  6 Ru 2.54-2.73, 1 Co 2.74


Entry 11:
Entry from the Alexandria database: a relaxed structure of LaNiOs2 (PBE).

Output
Uncorrected energy = -8.04 eV per atom
Formation enthalpy at 0 K = 0.25 eV/atom
Total magnetic moment = 0.001 μB per formula unit

abc: 2.9583 2.9583 7.7984
angles: 90.00 90.00 90.00
Last column: nearest neighbours and their distance in Å.
Space group P4mm (No. 99)
One atom of each set of equivalent atoms:
1 La 0.0000 0.0000 0.0000 (multiplicity 1)  4 La 2.96, 4 Ni 3.04, 4 Os 3.23
2 Ni 0.5000 0.5000 0.2835 (multiplicity 1)  4 Os 2.61
3 Os 0.0000 0.0000 0.4832 (multiplicity 1)  4 Ni 2.61, 4 Os 2.62
4 Os 0.5000 0.5000 0.6845 (multiplicity 1)  4 Os 2.62


Entry 12:
Entry from the Alexandria database: a relaxed structure of KIn2Rh (PBE).

Output
Uncorrected energy = -3.30 eV per atom
Formation enthalpy at 0 K = 0.18 eV/atom
Total magnetic moment = 0.000 μB per formula unit

abc: 3.3940 3.3940 30.3298
angles: 90.00 90.00 120.00
Last column: nearest neighbours and their distance in Å.
Space group R3m (No. 160, hexagonal axes)
One atom of each set of equivalent atoms:
1 K 0.0000 0.0000 0.0000 (multiplicity 3)  3 Rh 3.19, 6 K 3.39
2 In 0.0000 0.0000 0.5237 (multiplicity 3)  3 Rh 2.67
3 In 0.0000 0.0000 0.7708 (multiplicity 3)  9 In 3.27-3.39
4 Rh 0.0000 0.0000 0.2504 (multiplicity 3)  3 In 2.67